1.
A plane-wave DFT calculation with GGA-PBE was carried out for crystalline Sr2TlH at its relaxed geometry.

Lattice parameters (Å, degrees): 3.6805 3.6805 8.2914 90.00 90.00 90.00
Fractional coordinates of all 4 atoms:
1 Tl 0.5000 0.5000 0.5000
2 H 0.5000 0.5000 0.0000
3 Sr 0.0000 0.0000 0.2265
4 Sr 0.0000 0.0000 0.7735

Values from the calculation:
As for the total energy: -9.62 eV per cell. The calculation puts the polymorph energy (0 for the lowest one) at 0.2749 eV per atom.

2.
A plane-wave DFT calculation with GGA-PBE was carried out for crystalline Sr2TlH at its relaxed geometry.

Lattice parameters (Å, degrees): 5.8385 5.8648 7.5634 112.81 90.00 90.00
Fractional coordinates of all 8 atoms:
1 Sr 0.7500 0.0434 0.2918
2 Sr 0.2500 0.2516 0.7082
3 Sr 0.2500 0.4986 0.2918
4 Sr 0.7500 0.7067 0.7082
5 H 0.5000 0.3750 0.5000
6 H 0.0000 0.3750 0.5000
7 Tl 0.7500 0.3751 0.0000
8 Tl 0.2500 0.8751 0.0000

Values from the calculation:
As for the total energy: -21.45 eV per cell. The calculation puts the polymorph energy (0 for the lowest one) at 0.0000 eV per atom.